# ZnFeRe2 (PBE, optimized geometry)
data_ZnFeRe2
_chemical_formula_sum 'Zn1 Fe1 Re2'
_cell_length_a 2.710
_cell_length_b 3.906
_cell_length_c 5.286
_cell_angle_alpha 90.00
_cell_angle_beta 90.00
_cell_angle_gamma 90.00
_space_group_name_H-M_alt 'P m m 2'
_space_group_IT_number 25
loop_
_space_group_symop_operation_xyz
'x,y,z'
'-x,-y,z'
'-x,y,z'
'x,-y,z'
loop_
_atom_site_label
_atom_site_fract_x
_atom_site_fract_y
_atom_site_fract_z
Zn1 0.000 0.000 0.000
Fe1 0.500 0.500 0.225
Re1 0.000 0.000 0.493
Re2 0.500 0.500 0.727
# volume	56	Å³/cell
# density	14.65	g/cm³
# energy of formation	0.1817	eV/atom
# total DFT energy (no corrections)	-8.477	eV/atom
# magnetic moment	2.01	μB/f.u.